(1)
! CaGaCo3, optimized geometry, DFT PBE; values from VASP
&SYSTEM
  ibrav = 0, nat = 5, ntyp = 3
/
ATOMIC_SPECIES
Co 58.93 Co.upf
Ga 69.72 Ga.upf
Ca 40.08 Ca.upf
ATOMIC_POSITIONS crystal
Co 0.5000 0.0000 0.0000
Co 0.0000 0.0000 0.5000
Co 0.0000 0.5000 0.0000
Ga 0.0000 0.0000 0.0000
Ca 0.5000 0.5000 0.5000
CELL_PARAMETERS angstrom
4.4722 0.0000 0.0000
0.0000 4.4722 0.0000
0.0000 0.0000 4.4722
! Calculated formation energy: 565.3 meV per atom
! Space-group type: Pm-3m (221)

(2)
! TmLuPuPb, optimized geometry, DFT PBE; values from VASP
&SYSTEM
  ibrav = 0, nat = 4, ntyp = 4
/
ATOMIC_SPECIES
Tm 168.93 Tm.upf
Pu 244.00 Pu.upf
Lu 174.97 Lu.upf
Pb 207.20 Pb.upf
ATOMIC_POSITIONS crystal
Tm 0.0000 0.0000 0.0000
Pu 0.5000 0.5000 0.5000
Lu 0.7500 0.7500 0.7500
Pb 0.2500 0.2500 0.2500
CELL_PARAMETERS angstrom
5.4114 0.0000 0.0000
2.7057 4.6864 0.0000
2.7057 1.5621 4.4184
! Calculated formation energy: 7.6 meV per atom
! Space-group type: F-43m (216)

(3)
! TaSb2Os, optimized geometry, DFT PBE; values from VASP
&SYSTEM
  ibrav = 0, nat = 4, ntyp = 3
/
ATOMIC_SPECIES
Ta 180.95 Ta.upf
Os 190.23 Os.upf
Sb 121.76 Sb.upf
ATOMIC_POSITIONS crystal
Ta 0.0000 0.3749 0.5231
Os 0.5000 0.8749 0.7257
Sb 0.5000 0.3751 0.2481
Sb 0.0000 0.8750 0.0031
CELL_PARAMETERS angstrom
-1.6345 0.3458 4.6089
1.0331 -2.9568 0.5883
4.3283 1.7910 1.4006
! Formation energy without anion corrections: 25 kJ per mole of atoms
! Space-group type: Pmm2 (25)

(4)
! LaTbPuMg, optimized geometry, DFT PBE; values from VASP
&SYSTEM
  ibrav = 0, nat = 4, ntyp = 4
/
ATOMIC_SPECIES
Mg 24.30 Mg.upf
La 138.91 La.upf
Pu 244.00 Pu.upf
Tb 158.93 Tb.upf
ATOMIC_POSITIONS crystal
Mg 0.0000 0.0000 0.0000
La 0.2500 0.2500 0.2500
Pu 0.5000 0.5000 0.5000
Tb 0.7500 0.7500 0.7500
CELL_PARAMETERS angstrom
5.5498 0.0000 0.0000
2.7749 4.8063 0.0000
2.7749 1.6021 4.5314
! Calculated formation energy: 143.4 meV per atom
! Space-group type: F-43m (216)

(5)
! TbCd3Ag7, optimized geometry, DFT PBE; values from VASP
&SYSTEM
  ibrav = 0, nat = 11, ntyp = 3
/
ATOMIC_SPECIES
Cd 112.41 Cd.upf
Ag 107.87 Ag.upf
Tb 158.93 Tb.upf
ATOMIC_POSITIONS crystal
Cd 0.0000 0.2106 0.7894
Cd 0.5000 0.0000 0.0000
Cd 0.0000 0.7894 0.2106
Ag 0.3102 0.5755 0.0398
Ag 0.3912 0.2147 0.2147
Ag 0.6898 0.9602 0.4245
Ag 0.3102 0.0398 0.5755
Ag 0.0000 0.5000 0.5000
Ag 0.6088 0.7853 0.7853
Ag 0.6898 0.4245 0.9602
Tb 0.5000 0.5000 0.5000
CELL_PARAMETERS angstrom
-3.7377 -1.8347 3.8057
7.4497 -0.9572 1.1482
2.4622 7.1861 0.1756
! Calculated formation energy: 84.6 meV per atom
! Space-group type: C2/m (12)

(6)
! RbZr2TaCo, optimized geometry, DFT PBE; values from VASP
&SYSTEM
  ibrav = 0, nat = 5, ntyp = 4
/
ATOMIC_SPECIES
Co 58.93 Co.upf
Zr 91.22 Zr.upf
Rb 85.47 Rb.upf
Ta 180.95 Ta.upf
ATOMIC_POSITIONS crystal
Co 0.0000 0.0000 0.0000
Zr 0.5000 0.0000 0.0000
Zr 0.0000 0.0000 0.5000
Rb 0.0000 0.5000 0.0000
Ta 0.5000 0.5000 0.5000
CELL_PARAMETERS angstrom
4.9285 0.0000 0.0000
0.0000 4.9635 0.0000
0.0000 0.0000 4.9285
! Calculated formation energy: 1480.5 meV per atom
! Space-group type: P4/mmm (123)

Sequential energy output: -4.70 -6.75 -7.57 -6.23 -2.40 -5.92 eV per atom